Entry from Alexandria: a relaxed structure of BaBeRh2 (PBE).

Values from the calculation:
Space-group type: P4mm
V, Å³/cell: 74.1
ΔH_f (0 K), eV/atom: 0.15

Cell lengths 3.2181, 3.2236, 7.1452 Å; angles 90.00, 90.00, 90.00 degrees
Last column: nearest neighbours and their distance in Å.
Fractional positions:
Be1 0.5000 0.5000 0.8707  5 Rh 2.26-2.34
Rh1 0.0000 0.0000 0.9437  4 Be 2.34
Rh2 0.5000 0.5000 0.1875  1 Be 2.26
Ba1 0.0000 0.0000 0.4981  5 Rh 3.18, 4 Ba 3.22, 4 Be 3.50

Entry from Alexandria: a relaxed structure of Cu2HgPt2 (PBE).

Values from the calculation:
Space-group type: P4/mbm
Excess energy over the best structure of this formula in the dataset, eV/atom: 0.000
V, Å³/cell: 158.4
ΔH_f (0 K), eV/atom: -0.01

Cell lengths 7.3815, 7.3815, 2.9077 Å; angles 90.00, 90.00, 90.00 degrees
Last column: nearest neighbours and their distance in Å.
Fractional positions:
Cu1 0.1619 0.6619 0.5000  6 Pt 2.57-2.64
Cu2 0.6619 0.8381 0.5000  6 Pt 2.57-2.64
Cu3 0.8381 0.3381 0.5000  6 Pt 2.57-2.64
Cu4 0.3381 0.1619 0.5000  6 Pt 2.57-2.64
Hg1 0.0000 0.0000 0.0000  4 Pt 2.87, 2 Hg 2.91, 8 Cu 3.13
Hg2 0.5000 0.5000 0.0000  4 Pt 2.87, 2 Hg 2.91, 8 Cu 3.13
Pt1 0.3654 0.8654 0.0000  6 Cu 2.57-2.64, 1 Pt 2.81, 2 Hg 2.87
Pt2 0.8654 0.6346 0.0000  6 Cu 2.57-2.64, 1 Pt 2.81, 2 Hg 2.87
Pt3 0.6346 0.1346 0.0000  6 Cu 2.57-2.64, 1 Pt 2.81, 2 Hg 2.87
Pt4 0.1346 0.3654 0.0000  6 Cu 2.57-2.64, 1 Pt 2.81, 2 Hg 2.87

Entry from Alexandria: a relaxed structure of AsP8 (PBE).

Values from the calculation:
Space-group type: I4/mmm
V, Å³/cell: 210.8
ΔH_f (0 K), eV/atom: 0.64

Cell lengths 7.1217, 7.1217, 7.1217 Å; angles 96.12, 96.12, 141.88 degrees
Last column: nearest neighbours and their distance in Å.
Fractional positions:
As1 0.0000 0.0000 0.0000  4 P 2.35
P1 0.7588 0.2412 0.0000  4 P 2.30-2.34
P2 0.2412 0.7588 0.0000  4 P 2.30-2.34
P3 0.0000 0.7532 0.7532  2 P 2.30, 1 As 2.35
P4 0.2412 0.2412 0.4823  4 P 2.30-2.34
P5 0.7532 0.0000 0.7532  2 P 2.30, 1 As 2.35
P6 0.7588 0.7588 0.5177  4 P 2.30-2.34
P7 0.0000 0.2468 0.2468  2 P 2.30, 1 As 2.35
P8 0.2468 0.0000 0.2468  2 P 2.30, 1 As 2.35

Entry from Alexandria: a relaxed structure of LiTaCoNi (PBE).

Values from the calculation:
Space-group type: F-43m
V, Å³/cell: 50.9
ΔH_f (0 K), eV/atom: -0.06

Cell lengths 4.1611, 4.1611, 4.1611 Å; angles 60.00, 60.00, 60.00 degrees
Last column: nearest neighbours and their distance in Å.
Fractional positions:
Ni1 0.2500 0.2500 0.2500  4 Li 2.55, 4 Ta 2.55
Li1 0.5000 0.5000 0.5000  4 Co 2.55, 4 Ni 2.55
Co1 0.7500 0.7500 0.7500  4 Li 2.55, 4 Ta 2.55
Ta1 0.0000 0.0000 0.0000  4 Ni 2.55, 4 Co 2.55

Entry from Alexandria: a relaxed structure of MnTl3Br6 (PBE).

Values from the calculation:
Space-group type: P2_1/c
Excess energy over the best structure of this formula in the dataset, eV/atom: 0.000
V, Å³/cell: 676.5

Cell lengths 7.5104, 8.1319, 11.0765 Å; angles 90.00, 90.05, 90.00 degrees
Last column: nearest neighbours and their distance in Å.
Fractional positions:
Mn1 0.5000 0.5000 0.5000  6 Br 2.56-2.60
Mn2 0.0000 0.0000 0.0000  6 Br 2.56-2.60
Tl1 0.4718 0.0819 0.7474  6 Br 3.34-3.58
Tl2 0.5000 0.5000 0.0000  6 Br 3.16-3.21
Tl3 0.5282 0.9181 0.2526  6 Br 3.34-3.58
Tl4 0.9718 0.4181 0.2474  6 Br 3.34-3.58
Tl5 0.0000 0.0000 0.5000  6 Br 3.16-3.21
Tl6 0.0282 0.5819 0.7526  6 Br 3.34-3.58
Br1 0.2815 0.8335 0.9548  1 Mn 2.56
Br2 0.3342 0.7716 0.5516  1 Mn 2.60
Br3 0.4005 0.5256 0.2765  1 Mn 2.59
Br4 0.5995 0.4744 0.7235  1 Mn 2.59
Br5 0.6658 0.2284 0.4484  1 Mn 2.60
Br6 0.7185 0.1665 0.0452  1 Mn 2.56
Br7 0.7815 0.6665 0.4548  1 Mn 2.56
Br8 0.8342 0.7284 0.0516  1 Mn 2.60
Br9 0.9005 0.9744 0.7765  1 Mn 2.59
Br10 0.0995 0.0256 0.2235  1 Mn 2.59
Br11 0.1658 0.2716 0.9484  1 Mn 2.60
Br12 0.2185 0.3335 0.5452  1 Mn 2.56

Entry from Alexandria: a relaxed structure of YTlTe (PBE).

Values from the calculation:
Space-group type: I4mm
Excess energy over the best structure of this formula in the dataset, eV/atom: 0.044
V, Å³/cell: 96.4

Cell lengths 6.8134, 6.8137, 3.9362 Å; angles 73.21, 73.21, 33.58 degrees
Last column: nearest neighbours and their distance in Å.
Fractional positions:
Te1 0.0412 0.0413 0.9588  4 Y 3.10, 1 Tl 3.32
Tl1 0.3085 0.3084 0.6915  1 Te 3.32, 4 Y 3.41
Y1 0.6503 0.6503 0.3497  4 Te 3.10, 4 Tl 3.41

Entry from Alexandria: a relaxed structure of PmZrPt6 (PBE).

Values from the calculation:
Space-group type: P4/mmm
V, Å³/cell: 139.6
ΔH_f (0 K), eV/atom: -0.99

Cell lengths 4.1170, 4.1170, 8.2371 Å; angles 90.00, 90.00, 90.00 degrees
Last column: nearest neighbours and their distance in Å.
Fractional positions:
Pm1 0.0000 0.0000 0.0000  12 Pt 2.91-2.98
Zr1 0.0000 0.0000 0.5000  12 Pt 2.84-2.91
Pt1 0.5000 0.5000 0.0000  4 Pm 2.91, 8 Pt 2.98
Pt2 0.5000 0.5000 0.5000  8 Pt 2.84, 4 Zr 2.91
Pt3 0.5000 0.0000 0.2622  2 Zr 2.84, 8 Pt 2.84-2.98, 2 Pm 2.98
Pt4 0.5000 0.0000 0.7378  8 Pt 2.84-2.98, 2 Zr 2.84, 2 Pm 2.98
Pt5 0.0000 0.5000 0.2622  2 Zr 2.84, 8 Pt 2.84-2.98, 2 Pm 2.98
Pt6 0.0000 0.5000 0.7378  8 Pt 2.84-2.98, 2 Zr 2.84, 2 Pm 2.98

Entry from Alexandria: a relaxed structure of K2SmTc2N4 (PBE).

Values from the calculation:
Total DFT energy (no corrections), eV/f.u.: -64.42
Space-group type: C2/m
V, Å³/cell: 160.3

Cell lengths 3.5199, 7.2755, 9.3314 Å; angles 134.52, 90.00, 104.00 degrees
Last column: nearest neighbours and their distance in Å.
Fractional positions:
K1 0.8460 0.6920 0.4438  4 N 2.87-2.90
K2 0.1540 0.3080 0.5562  4 N 2.87-2.90
Sm1 0.0000 0.0000 0.0000  6 N 2.45-2.46
Tc1 0.3488 0.6976 0.0707  4 N 1.86-2.08
Tc2 0.6512 0.3024 0.9293  4 N 1.86-2.08
N1 0.7876 0.5752 0.9067  3 Tc 2.07-2.08
N2 0.2124 0.4248 0.0933  3 Tc 2.07-2.08
N3 0.5321 0.0642 0.2164  1 Tc 1.86
N4 0.4679 0.9358 0.7836  1 Tc 1.86